one.
{
  "formula": "MoP3Pt",
  "functional": "PBE-GGA",
  "state": "relaxed",
  "mass_density_kg_m3": 6606,
  "spacegroup": "Pm-3m",
  "lattice": [[4.587, 0.000, 0.000], [0.000, 4.587, 0.000], [0.000, 0.000, 4.587]],
  "species": ["Mo", "P", "P", "P", "Pt"],
  "fractional_positions": [[0.000, 0.000, 0.000], [0.000, 0.500, 0.500], [0.500, 0.000, 0.500], [0.500, 0.500, 0.000], [0.500, 0.500, 0.500]]
}


two.
{
  "formula": "MoP3Pt",
  "functional": "PBE-GGA",
  "state": "relaxed",
  "mass_density_kg_m3": 6474,
  "spacegroup": "Pm-3m",
  "lattice": [[4.618, 0.000, 0.000], [0.000, 4.618, 0.000], [0.000, 0.000, 4.618]],
  "species": ["Mo", "P", "P", "P", "Pt"],
  "fractional_positions": [[0.000, 0.000, 0.000], [0.000, 0.000, 0.500], [0.000, 0.500, 0.000], [0.500, 0.000, 0.000], [0.500, 0.500, 0.500]]
}


Which one is most stable, and which one is least stable? two is the most stable of them, while one is the least stable.


one.
{
  "formula": "MoPPtS2",
  "functional": "PBE-GGA",
  "state": "relaxed",
  "mass_density_kg_m3": 6256,
  "spacegroup": "P4/mmm",
  "lattice": [[4.741, 0.000, 0.000], [0.000, 4.741, 0.000], [0.000, 0.000, 4.559]],
  "species": ["Mo", "P", "Pt", "S", "S"],
  "fractional_positions": [[0.000, 0.000, 0.000], [0.500, 0.500, 0.000], [0.500, 0.500, 0.500], [0.000, 0.500, 0.500], [0.500, 0.000, 0.500]]
}


two.
{
  "formula": "MoPPtS2",
  "functional": "PBE-GGA",
  "state": "relaxed",
  "mass_density_kg_m3": 6431,
  "spacegroup": "P4/mmm",
  "lattice": [[4.554, 0.000, 0.000], [0.000, 4.554, 0.000], [0.000, 0.000, 4.807]],
  "species": ["Mo", "P", "Pt", "S", "S"],
  "fractional_positions": [[0.000, 0.000, 0.000], [0.000, 0.000, 0.500], [0.500, 0.500, 0.500], [0.000, 0.500, 0.000], [0.500, 0.000, 0.000]]
}


Which one is most stable, and which one is least stable? two is the most stable of them, while one is the least stable.


one.
{
  "formula": "MoP2PtS",
  "functional": "PBE-GGA",
  "state": "relaxed",
  "mass_density_kg_m3": 6437,
  "spacegroup": "P4/mmm",
  "lattice": [[4.711, 0.000, 0.000], [0.000, 4.711, 0.000], [0.000, 0.000, 4.475]],
  "species": ["Mo", "P", "P", "Pt", "S"],
  "fractional_positions": [[0.000, 0.000, 0.000], [0.000, 0.500, 0.000], [0.500, 0.000, 0.000], [0.500, 0.500, 0.500], [0.000, 0.000, 0.500]]
}


two.
{
  "formula": "MoP2PtS",
  "functional": "PBE-GGA",
  "state": "relaxed",
  "mass_density_kg_m3": 6303,
  "spacegroup": "P4/mmm",
  "lattice": [[4.589, 0.000, 0.000], [0.000, 4.589, 0.000], [0.000, 0.000, 4.816]],
  "species": ["Mo", "P", "P", "Pt", "S"],
  "fractional_positions": [[0.000, 0.000, 0.000], [0.000, 0.500, 0.500], [0.500, 0.000, 0.500], [0.500, 0.500, 0.500], [0.500, 0.500, 0.000]]
}


Which one is most stable, and which one is least stable? one is the most stable of them, while two is the least stable.


one.
{
  "formula": "RbMoP2",
  "functional": "PBE-GGA",
  "state": "relaxed",
  "mass_density_kg_m3": 2990,
  "spacegroup": "I4_1/amd",
  "lattice": [[-3.339, 3.339, 6.063], [3.339, -3.339, 6.063], [3.339, 3.339, -6.063]],
  "species": ["Rb", "Rb", "Mo", "Mo", "P", "P", "P", "P"],
  "fractional_positions": [[0.375, 0.625, 0.750], [0.625, 0.375, 0.250], [0.125, 0.875, 0.250], [0.875, 0.125, 0.750], [0.000, 0.000, 0.000], [0.000, 0.000, 0.500], [0.000, 0.500, 0.000], [0.500, 0.000, 0.500]]
}


two.
{
  "formula": "RbMoP2",
  "functional": "PBE-GGA",
  "state": "relaxed",
  "mass_density_kg_m3": 5219,
  "spacegroup": "Fm-3m",
  "lattice": [[0.000, 3.383, 3.383], [3.383, 0.000, 3.383], [3.383, 3.383, 0.000]],
  "species": ["Rb", "Mo", "P", "P"],
  "fractional_positions": [[0.000, 0.000, 0.000], [0.500, 0.500, 0.500], [0.250, 0.250, 0.250], [0.750, 0.750, 0.750]]
}


Which one is most stable, and which one is least stable? one is the most stable of them, while two is the least stable.


one.
{
  "formula": "ReMoP2",
  "functional": "PBE-GGA",
  "state": "relaxed",
  "mass_density_kg_m3": 10777,
  "spacegroup": "Fm-3m",
  "lattice": [[0.000, 2.982, 2.982], [2.982, 0.000, 2.982], [2.982, 2.982, 0.000]],
  "species": ["Re", "Mo", "P", "P"],
  "fractional_positions": [[0.000, 0.000, 0.000], [0.500, 0.500, 0.500], [0.250, 0.250, 0.250], [0.750, 0.750, 0.750]]
}


two.
{
  "formula": "ReMoP2",
  "functional": "PBE-GGA",
  "state": "relaxed",
  "mass_density_kg_m3": 10381,
  "spacegroup": "Cm",
  "lattice": [[4.205, -1.531, 0.000], [4.205, 1.531, 0.000], [-1.235, 0.000, 4.276]],
  "species": ["Re", "Mo", "P", "P"],
  "fractional_positions": [[0.000, 0.000, 0.000], [0.236, 0.236, 0.600], [0.496, 0.496, 0.458], [0.738, 0.738, 0.132]]
}


Which one is most stable, and which one is least stable? two is the most stable of them, while one is the least stable.


one.
{
  "formula": "ReMo3P",
  "functional": "PBE-GGA",
  "state": "relaxed",
  "mass_density_kg_m3": 9958,
  "spacegroup": "Pm-3m",
  "lattice": [[4.383, 0.000, 0.000], [0.000, 4.383, 0.000], [0.000, 0.000, 4.383]],
  "species": ["Re", "Mo", "Mo", "Mo", "P"],
  "fractional_positions": [[0.000, 0.000, 0.000], [0.000, 0.500, 0.500], [0.500, 0.000, 0.500], [0.500, 0.500, 0.000], [0.500, 0.500, 0.500]]
}


two.
{
  "formula": "ReMo3P",
  "functional": "PBE-GGA",
  "state": "relaxed",
  "mass_density_kg_m3": 7842,
  "spacegroup": "Pm-3m",
  "lattice": [[4.746, 0.000, 0.000], [0.000, 4.746, 0.000], [0.000, 0.000, 4.746]],
  "species": ["Re", "Mo", "Mo", "Mo", "P"],
  "fractional_positions": [[0.000, 0.000, 0.000], [0.000, 0.000, 0.500], [0.000, 0.500, 0.000], [0.500, 0.000, 0.000], [0.500, 0.500, 0.500]]
}


Which one is most stable, and which one is least stable? one is the most stable of them, while two is the least stable.


one.
{
  "formula": "ReMoP2S",
  "functional": "PBE-GGA",
  "state": "relaxed",
  "mass_density_kg_m3": 6133,
  "spacegroup": "P4/mmm",
  "lattice": [[4.769, 0.000, 0.000], [0.000, 4.769, 0.000], [0.000, 0.000, 4.478]],
  "species": ["Re", "Mo", "P", "P", "S"],
  "fractional_positions": [[0.000, 0.000, 0.000], [0.500, 0.500, 0.500], [0.000, 0.500, 0.500], [0.500, 0.000, 0.500], [0.500, 0.500, 0.000]]
}


two.
{
  "formula": "ReMoP2S",
  "functional": "PBE-GGA",
  "state": "relaxed",
  "mass_density_kg_m3": 6148,
  "spacegroup": "P4/mmm",
  "lattice": [[4.497, 0.000, 0.000], [0.000, 4.497, 0.000], [0.000, 0.000, 5.024]],
  "species": ["Re", "Mo", "P", "P", "S"],
  "fractional_positions": [[0.000, 0.000, 0.000], [0.500, 0.500, 0.500], [0.000, 0.500, 0.000], [0.500, 0.000, 0.000], [0.000, 0.000, 0.500]]
}


Which one is most stable, and which one is least stable? two is the most stable of them, while one is the least stable.


one.
{
  "formula": "Mo3PRh",
  "functional": "PBE-GGA",
  "state": "relaxed",
  "mass_density_kg_m3": 8196,
  "spacegroup": "Pm-3m",
  "lattice": [[4.404, 0.000, 0.000], [0.000, 4.404, 0.000], [0.000, 0.000, 4.404]],
  "species": ["Mo", "Mo", "Mo", "P", "Rh"],
  "fractional_positions": [[0.000, 0.000, 0.500], [0.000, 0.500, 0.000], [0.500, 0.000, 0.000], [0.000, 0.000, 0.000], [0.500, 0.500, 0.500]]
}


two.
{
  "formula": "Mo3PRh",
  "functional": "PBE-GGA",
  "state": "relaxed",
  "mass_density_kg_m3": 6770,
  "spacegroup": "Pm-3m",
  "lattice": [[4.694, 0.000, 0.000], [0.000, 4.694, 0.000], [0.000, 0.000, 4.694]],
  "species": ["Mo", "Mo", "Mo", "P", "Rh"],
  "fractional_positions": [[0.000, 0.000, 0.500], [0.000, 0.500, 0.000], [0.500, 0.000, 0.000], [0.500, 0.500, 0.500], [0.000, 0.000, 0.000]]
}


Which one is most stable, and which one is least stable? one is the most stable of them, while two is the least stable.